Record 1
Computed, not measured: crystalline Al3RuI at its relaxed geometry at the PBE-GGA level of DFT.

Lattice parameters (Å, degrees): 4.8757 4.8757 4.8757 90.00 90.00 90.00
Element x y z (fractional)
Ru 0.0000 0.0000 0.0000
I 0.5000 0.5000 0.5000
Al 0.0000 0.5000 0.0000
Al 0.0000 0.0000 0.5000
Al 0.5000 0.0000 0.0000

Computed properties:
* DOS(E_F): 0.392 states/eV/atom
* energy relative to the elements, uncorrected: 0 kJ/mol of atoms
* relative energy among the computed polymorphs: 0.000 eV per atom
* space group: Pm-3m, No. 221

***

Record 2
Computed, not measured: crystalline Tb12Ho7Tm at its relaxed geometry at the PBE-GGA level of DFT.

Lattice parameters (Å, degrees): 8.6525 8.6525 8.6525 94.82 94.82 94.82
Element x y z (fractional)
Tb 0.8153 0.2495 0.6866
Tb 0.8525 0.5845 0.5213
Tb 0.5845 0.5213 0.8525
Ho 0.5000 0.5000 0.5000
Ho 0.9787 0.9161 0.6487
Ho 0.0839 0.3513 0.0213
Tb 0.5213 0.8525 0.5845
Tb 0.1847 0.7505 0.3134
Tb 0.3134 0.1847 0.7505
Tb 0.2495 0.6866 0.8153
Tb 0.1475 0.4155 0.4787
Ho 0.9161 0.6487 0.9787
Tb 0.4787 0.1475 0.4155
Ho 0.0213 0.0839 0.3513
Tb 0.4155 0.4787 0.1475
Tb 0.7505 0.3134 0.1847
Ho 0.6487 0.9787 0.9161
Tb 0.6866 0.8153 0.2495
Tm 0.0000 0.0000 0.0000
Ho 0.3513 0.0213 0.0839

Computed properties:
* ΔE_f: 293 meV/atom
* DOS(E_F): 0.933 states/eV/atom
* relative energy among the computed polymorphs: 0.000 eV per atom
* space group: R-3, No. 148

***

Record 3
Computed, not measured: crystalline PmPr3Sc at its relaxed geometry at the PBE-GGA level of DFT.

Lattice parameters (Å, degrees): 9.6547 8.4055 8.4056 90.70 90.01 90.00
Element x y z (fractional)
Pr 0.1942 0.0889 0.4111
Sc 0.2500 0.3673 0.6327
Pr 0.3058 0.5889 0.9111
Pr 0.9069 0.3137 0.5395
Pm 0.4358 0.8611 0.6390
Pr 0.5931 0.8137 0.0395
Pr 0.4069 0.5395 0.3137
Pm 0.0642 0.3610 0.1389
Sc 0.7500 0.1328 0.8672
Pr 0.5931 0.4605 0.6863
Sc 0.2500 0.8672 0.1328
Pr 0.8058 0.9111 0.5889
Pr 0.6942 0.4111 0.0889
Pr 0.0931 0.6863 0.4605
Pr 0.4069 0.1863 0.9605
Pm 0.5642 0.1389 0.3610
Sc 0.7500 0.6327 0.3673
Pr 0.9069 0.9605 0.1863
Pm 0.9358 0.6390 0.8611
Pr 0.0931 0.0395 0.8137

Computed properties:
* ΔE_f: 178 meV/atom
* DOS(E_F): 1.525 states/eV/atom
* relative energy among the computed polymorphs: 0.083 eV per atom
* space group: Cmce, No. 64

***

Record 4
Computed, not measured: crystalline CsPuAgI6 at its relaxed geometry at the PBE-GGA level of DFT.

Lattice parameters (Å, degrees): 7.8192 7.8192 17.5508 90.00 90.00 120.00
Site moments in Bohr magnetons follow the coordinates.
Element x y z (fractional)
I 0.0041 0.6379 0.3495  -0.10
Pu 0.3333 0.6667 0.2500  4.79
I 0.3621 0.3662 0.3495  -0.10
I 0.3662 0.0041 0.6505  -0.10
Ag 0.6667 0.3333 0.2500  -0.05
I 0.6338 0.9959 0.3495  -0.10
I 0.6379 0.6338 0.6505  -0.10
I 0.3662 0.3621 0.8495  -0.10
I 0.9959 0.3621 0.6505  -0.10
Ag 0.3333 0.6667 0.7500  -0.05
Cs 0.0000 0.0000 0.5000  0.00
I 0.9959 0.6338 0.8495  -0.10
I 0.3621 0.9959 0.1505  -0.10
Cs 0.0000 0.0000 0.0000  0.00
I 0.0041 0.3662 0.1505  -0.10
Pu 0.6667 0.3333 0.7500  4.79
I 0.6379 0.0041 0.8495  -0.10
I 0.6338 0.6379 0.1505  -0.10

Computed properties:
* DOS(E_F): 1.085 states/eV/atom
* energy relative to the elements, uncorrected: -83 kJ/mol of atoms
* space group: P-31c, No. 163

***

Record 5
Computed, not measured: crystalline Ti2InRh at its relaxed geometry at the PBE-GGA level of DFT.

Lattice parameters (Å, degrees): 4.0744 4.0618 4.0618 90.00 90.00 90.00
Site moments in Bohr magnetons follow the coordinates.
Element x y z (fractional)
In 0.5000 0.5000 0.5000  0.00
Rh 0.5000 0.0000 0.0000  0.01
Ti 0.0000 0.5000 0.0000  0.16
Ti 0.0000 0.0000 0.5000  0.16

Computed properties:
* ΔE_f: -360 meV/atom
* DOS(E_F): 1.306 states/eV/atom
* space group: P4/mmm, No. 123

***

Record 6
Computed, not measured: crystalline ScTi3Ru at its relaxed geometry at the PBE-GGA level of DFT.

Lattice parameters (Å, degrees): 4.7177 4.7177 4.7177 90.00 90.00 90.00
Element x y z (fractional)
Ti 0.5000 0.0000 0.0000
Ti 0.0000 0.5000 0.0000
Ru 0.0000 0.0000 0.0000
Sc 0.5000 0.5000 0.5000
Ti 0.0000 0.0000 0.5000

Computed properties:
* ΔE_f: 248 meV/atom
* DOS(E_F): 1.736 states/eV/atom
* relative energy among the computed polymorphs: 0.000 eV per atom
* space group: Pm-3m, No. 221

***

Record 7
Computed, not measured: crystalline LaPr2Ru2 at its relaxed geometry at the PBE-GGA level of DFT.

Lattice parameters (Å, degrees): 4.3648 5.6877 11.2476 81.07 90.00 90.00
Element x y z (fractional)
Ru 0.7500 0.6260 0.0031
Pr 0.7500 0.7659 0.4654
Pr 0.7500 0.0700 0.1239
Ru 0.7500 0.3055 0.3576
Pr 0.2500 0.2341 0.5346
La 0.2500 0.5219 0.2185
Ru 0.2500 0.6945 0.6424
Pr 0.2500 0.9300 0.8761
La 0.7500 0.4781 0.7815
Ru 0.2500 0.3740 0.9969

Computed properties:
* ΔE_f: -116 meV/atom
* DOS(E_F): 0.882 states/eV/atom
* space group: P2_1/m, No. 11

***

Record 8
Computed, not measured: crystalline Tl2AuCl at its relaxed geometry at the PBE-GGA level of DFT.

Lattice parameters (Å, degrees): 8.7101 8.7101 8.7101 28.98 28.98 28.98
Element x y z (fractional)
Tl 0.2327 0.2327 0.2327
Au 0.5088 0.5088 0.5088
Tl 0.0158 0.0158 0.0158
Cl 0.7427 0.7427 0.7427

Computed properties:
* DOS(E_F): 0.009 states/eV/atom
* energy relative to the elements, uncorrected: -25 kJ/mol of atoms
* relative energy among the computed polymorphs: 0.208 eV per atom
* space group: R3m, No. 160